# 1
DFT (PBE) results for an optimized crystal structure of K2AlAs.

Results
- ΔE to the lowest computed polymorph: 545 meV/atom
- Space-group type: C2/m, No. 12
- DFT formation energy: 0.28 eV per atom

Cell lengths 5.883, 5.883, 6.410 Å; angles 83.15, 83.15, 32.56 degrees
Atoms (fractional coordinates):
As: 0.250 0.250 0.250
K: 0.991 0.991 0.020
K: 0.509 0.509 0.480
Al: 0.750 0.750 0.750

=====

# 2
DFT (PBE) results for an optimized crystal structure of CsK7Hg3.

Results
- Space-group type: Cm, No. 8
- DFT formation energy: -0.11 eV per atom

Cell lengths 8.998, 9.252, 9.861 Å; angles 82.43, 62.86, 60.90 degrees
Atoms (fractional coordinates):
Cs: 0.674 0.663 0.989
K: 0.317 0.916 0.451
K: 0.317 0.576 0.789
K: 0.921 0.878 0.280
K: 0.280 0.112 0.831
K: 0.777 0.112 0.831
K: 0.403 0.364 0.328
K: 0.906 0.364 0.328
Hg: 0.999 0.365 0.636
Hg: 0.667 0.717 0.603
Hg: 0.014 0.717 0.603

=====

# 3
DFT (PBE) results for an optimized crystal structure of Na5As2.

Results
- Space-group type: Ibam, No. 72
- DFT formation energy: -0.34 eV per atom

Cell lengths 6.353, 7.544, 8.827 Å; angles 115.30, 111.09, 90.00 degrees
Last column: magnetic moment on the atom in μB.
Atoms (fractional coordinates):
Na: 0.079 0.225 0.157  0.00
Na: 0.921 0.775 0.843  0.00
Na: 0.579 0.933 0.157  0.00
Na: 0.421 0.067 0.843  0.00
Na: 0.487 0.737 0.475  0.00
Na: 0.013 0.263 0.525  0.00
Na: 0.513 0.263 0.525  0.00
Na: 0.987 0.737 0.475  0.00
Na: 0.750 0.500 0.000  0.00
Na: 0.250 0.500 0.000  0.00
As: 0.376 0.634 0.752  0.15
As: 0.624 0.366 0.248  0.15
As: 0.876 0.118 0.752  0.15
As: 0.124 0.882 0.248  0.15

=====

# 4
DFT (PBE) results for an optimized crystal structure of CaAcCe2N4.

Results
- Energy relative to the elements, uncorrected: -980 kJ/mol of formula units
- Space-group type: P2/m, No. 10

Cell lengths 3.657, 6.325, 6.303 Å; angles 70.89, 90.00, 90.00 degrees
Last column: magnetic moment on the atom in μB.
Atoms (fractional coordinates):
Ca: 0.000 0.500 0.500  0.01
Ac: 0.500 0.500 0.000  0.03
Ce: 0.000 0.000 0.000  0.25
Ce: 0.500 0.000 0.500  0.17
N: 0.000 0.782 0.736  -0.01
N: 0.000 0.218 0.264  -0.01
N: 0.500 0.781 0.241  -0.02
N: 0.500 0.219 0.759  -0.02

=====

Number 1: V 118.5 Å³/cell. Number 2: V 634.0 Å³/cell. Number 3: V 350.9 Å³/cell. Number 4: V 137.7 Å³/cell.